*a*
VASP calculation (PBE-GGA) on a relaxed structure of KOs2Au.

Cell: 2.679 4.950 5.483 Å, 90.00 90.00 90.00°
Positions (direct):
K 0.000 0.000 0.000
Os 0.000 0.500 0.500
Os 0.500 0.000 0.500
Au 0.500 0.500 0.000

Results
- Total magnetization: 0.2 Bohr magnetons per cell
- Fermi-level density of states: 3.32 states/eV/f.u.



*b*
VASP calculation (PBE-GGA) on a relaxed structure of KOs2Au.

Cell: 5.806 5.806 5.806 Å, 141.56 141.56 55.48°
Positions (direct):
K 0.000 0.000 0.000
Os 0.250 0.750 0.500
Os 0.750 0.250 0.500
Au 0.500 0.500 0.000

Results
- Total magnetization: 0.0 Bohr magnetons per cell
- Fermi-level density of states: 6.34 states/eV/f.u.



It is *a* that is most stable; the runner-up trails by 410 meV/atom.